1.
Compound: HfThNi2Ge2
Source: Alexandria
Functional: PBE
Structure: optimized geometry

```
6
Lattice="4.184 0.000 0.000 -2.092 3.624 0.000 0.000 0.000 7.077" Properties=species:S:1:pos:R:3 pbc="T T T"
Hf 0.000 0.000 3.539
Ge 0.000 2.416 1.960
Ni 0.000 2.416 4.796
Ge 2.092 1.208 5.117
Ni 2.092 1.208 2.281
Th 0.000 0.000 0.000
```

Results
Energy of formation from the pure elements in eV per atom: -0.750
Crystal system: trigonal
Space group: P-3m1

2.
Compound: Hf2NiGeW
Source: Alexandria
Functional: PBE
Structure: optimized geometry

```
5
Lattice="-4.356 -1.503 1.629 1.065 -4.306 -1.124 1.903 -0.691 4.449" Properties=species:S:1:pos:R:3 pbc="T T T"
Ni -0.694 -3.250 2.477
W 0.533 -2.153 -0.562
Hf 0.951 -0.345 2.224
Hf -2.178 -0.752 0.815
Ge 0.000 0.000 0.000
```

Results
Energy of formation from the pure elements in eV per atom: 1.064
Crystal system: tetragonal
Space group: P4/mmm

3.
Compound: HfNpGe2
Source: Alexandria
Functional: PBE
Structure: optimized geometry

```
4
Lattice="3.601 0.000 0.000 0.000 3.601 0.000 0.000 0.000 6.198" Properties=species:S:1:pos:R:3 pbc="T T T"
Ge 0.000 0.000 4.856
Ge 0.000 0.000 1.342
Hf 1.801 1.801 0.000
Np 1.801 1.801 3.099
```

Results
Energy of formation from the pure elements in eV per atom: -0.258
Crystal system: tetragonal
Space group: P4/mmm